# 1
12
Lattice="-3.552 2.246 0.829 -3.354 -5.103 -0.547 1.276 -2.007 10.897" Properties=species:S:1:pos:R:3 comment="VTcI PBE-GGA relaxed" spacegroup="Pbcm, No. 57" crystal_system=orthorhombic e_above_lowest_polymorph_mev_per_atom=153.7 pbc="T T T"
Tc -4.429 0.196 0.626
V -3.300 -5.142 8.855
V -2.451 -1.287 2.051
I -4.478 -1.152 4.065
Tc -2.336 -4.343 10.819
V -3.465 0.995 2.590
V -4.314 -2.860 9.394
Tc -1.919 0.191 0.331
Tc -4.846 -4.337 11.114
I -5.718 -4.392 7.524
I -2.286 -2.995 7.380
I -1.046 0.244 3.920

# 2
8
Lattice="-5.689 -0.001 -0.831 -0.824 -0.706 5.646 -3.366 5.658 3.144" Properties=species:S:1:pos:R:3 comment="V2TcI PBE-GGA relaxed" spacegroup="I-42d, No. 122" crystal_system=tetragonal pbc="T T T"
V -5.020 3.933 4.523
V -4.138 1.326 1.025
V -2.430 0.973 4.158
Tc -3.723 2.299 5.599
I 0.000 0.000 0.000
I -6.156 2.652 2.360
Tc -3.257 -0.354 2.408
V -8.171 3.670 6.211

# 3
6
Lattice="-1.824 -1.326 -5.820 3.113 -0.784 -0.797 -0.970 -5.420 1.547" Properties=species:S:1:pos:R:3 comment="VTcI PBE-GGA relaxed" spacegroup="Cm, No. 8" crystal_system=monoclinic e_above_lowest_polymorph_mev_per_atom=452.6 pbc="T T T"
V 0.134 -5.552 -0.878
I -1.897 -4.715 -2.769
V -0.938 -2.449 -1.253
Tc -0.177 -0.304 -0.393
I 0.145 -2.398 -3.941
Tc 0.895 -3.406 -0.018

# 4
6
Lattice="3.814 0.000 -0.001 0.000 4.163 0.000 -1.866 0.000 9.371" Properties=species:S:1:pos:R:3 comment="VTcI PBE-GGA relaxed" spacegroup="Pm, No. 6" crystal_system=monoclinic e_above_lowest_polymorph_mev_per_atom=0.0 pbc="T T T"
Tc 2.650 0.000 1.658
Tc 0.925 2.082 1.333
V 1.030 0.000 3.230
I 1.073 2.082 5.168
V 3.166 2.082 2.947
I -0.892 0.000 8.724

# 5
4
Lattice="0.000 3.174 3.174 3.174 0.000 3.174 3.174 3.174 0.000" Properties=species:S:1:pos:R:3 comment="VTc2I PBE-GGA relaxed" spacegroup="Fm-3m, No. 225" crystal_system=cubic e_above_lowest_polymorph_mev_per_atom=0.0 pbc="T T T"
I 3.174 3.174 3.174
Tc 1.587 1.587 1.587
Tc 4.761 4.761 4.761
V 0.000 0.000 0.000

# 6
4
Lattice="-0.259 2.947 3.704 0.147 4.688 -0.687 -3.893 2.618 0.678" Properties=species:S:1:pos:R:3 comment="VTcI2 PBE-GGA relaxed" spacegroup="Fm-3m, No. 225" crystal_system=cubic e_above_lowest_polymorph_mev_per_atom=24.3 pbc="T T T"
Tc -2.002 5.127 1.848
I -3.003 7.691 2.772
I -1.001 2.564 0.924
V 0.000 0.000 0.000

# 7
9
Lattice="-1.873 -0.555 2.679 -1.309 -0.309 -3.031 5.084 -18.600 -0.298" Properties=species:S:1:pos:R:3 comment="VTcI PBE-GGA relaxed" spacegroup="R3m, No. 160" crystal_system=trigonal e_above_lowest_polymorph_mev_per_atom=440.8 pbc="T T T"
I 1.095 -4.005 -0.064
I 2.987 -16.796 -1.390
Tc 1.855 -13.424 0.569
V -1.140 -2.465 0.744
I 1.105 -10.678 0.613
V 3.934 -14.392 -0.230
Tc -1.346 -0.942 -1.136
Tc 1.845 -6.751 -0.108
V 0.742 -8.583 -1.259

# 8
6
Lattice="-0.819 -3.527 -0.278 1.595 0.365 4.114 -8.719 3.537 2.859" Properties=species:S:1:pos:R:3 comment="VTcI PBE-GGA relaxed" spacegroup="P1, No. 1" crystal_system=triclinic e_above_lowest_polymorph_mev_per_atom=134.3 pbc="T T T"
V -2.585 0.528 3.194
I -7.071 3.431 5.303
Tc -1.406 -1.947 2.845
Tc -0.877 0.212 0.957
V -2.881 -0.893 0.955
I -5.112 0.496 1.701

# 9
8
Lattice="3.868 0.000 0.000 0.000 3.868 0.000 1.934 1.934 9.838" Properties=species:S:1:pos:R:3 comment="VTc2I PBE-GGA relaxed" spacegroup="I-42d, No. 122" crystal_system=tetragonal e_above_lowest_polymorph_mev_per_atom=301.0 pbc="T T T"
Tc 2.901 3.131 7.379
Tc 4.835 4.605 7.379
V 1.934 1.934 0.000
I 0.000 0.000 0.000
Tc 2.671 0.967 2.460
Tc 1.197 2.901 2.460
V 1.934 3.868 4.919
I 3.868 1.934 4.919

# 10
6
Lattice="-3.185 0.328 -0.897 2.533 -2.140 -5.917 -0.677 -4.979 4.573" Properties=species:S:1:pos:R:3 comment="VTcI PBE-GGA relaxed" spacegroup="P1, No. 1" crystal_system=triclinic e_above_lowest_polymorph_mev_per_atom=369.6 pbc="T T T"
Tc -0.976 -2.845 -0.436
V -3.035 -3.051 0.606
Tc 0.827 -5.213 -0.515
I -1.300 -5.116 3.537
I -0.895 -3.164 -3.499
V -1.216 -5.475 0.518

# 11
12
Lattice="3.369 0.000 -0.010 0.000 6.647 0.000 -2.394 0.000 11.669" Properties=species:S:1:pos:R:3 comment="VTcI PBE-GGA relaxed" spacegroup="C2, No. 5" crystal_system=monoclinic e_above_lowest_polymorph_mev_per_atom=396.1 pbc="T T T"
I 1.032 6.462 1.930
V -1.854 1.927 10.650
I 1.140 3.139 3.894
Tc 1.175 0.326 4.740
Tc 0.998 3.649 1.084
I -0.165 3.139 7.765
I -0.057 6.462 9.729
V 1.632 5.251 6.844
V -0.657 5.251 4.815
Tc -0.199 0.326 6.919
Tc -0.022 3.649 10.575
V 2.829 1.927 1.009

# 12
5
Lattice="5.423 0.000 0.000 0.000 4.690 0.000 0.000 0.000 5.423" Properties=species:S:1:pos:R:3 comment="VTcWI2 PBE-GGA relaxed" spacegroup="P4/mmm, No. 123" crystal_system=tetragonal pbc="T T T"
V 0.000 2.345 0.000
I 2.712 0.000 0.000
I 0.000 0.000 2.712
W 0.000 0.000 0.000
Tc 2.712 2.345 2.712

no.,raw formation energy (eV/atom),energy (eV for the cell shown)
1,0.163,-82.187
2,1.014,-52.193
3,0.462,-39.300
4,0.009,-42.016
5,0.661,-28.758
6,0.926,-18.880
7,0.450,-59.056
8,0.143,-41.209
9,0.962,-55.107
10,0.379,-39.798
11,0.405,-79.278
12,2.008,-25.498